[1]
## SmPRuF (PBE)

Data for a relaxed structure of SmPRuF.

Values from the calculation:
- SG: P4/nmm, No. 129
- DFT total energy: -58.9 eV per cell
- E_form (uncorrected): -197.46 kJ per mole of atoms

a = 3.990 Å, b = 3.990 Å, c = 8.159 Å
α = 90.00°, β = 90.00°, γ = 90.00°
Atoms (fractional coordinates):
Sm 0.250 0.250 0.189
Sm 0.750 0.750 0.811
P 0.250 0.250 0.652
P 0.750 0.750 0.348
Ru 0.250 0.750 0.500
Ru 0.750 0.250 0.500
F 0.250 0.750 0.000
F 0.750 0.250 0.000



[2]
## Ba2Mg15Sc2 (PBE)

Data for a relaxed structure of Ba2Mg15Sc2.

Values from the calculation:
- SG: R-3m, No. 166
- DFT total energy: -41.1 eV per cell
- Energy of formation: -0.034 eV per atom

a = 8.074 Å, b = 8.074 Å, c = 8.074 Å
α = 82.80°, β = 82.80°, γ = 82.80°
Atoms (fractional coordinates):
Ba 0.162 0.162 0.162
Ba 0.838 0.838 0.838
Mg 0.000 0.500 0.500
Mg 0.151 0.151 0.648
Mg 0.151 0.648 0.151
Mg 0.214 0.500 0.786
Mg 0.214 0.786 0.500
Mg 0.352 0.849 0.849
Mg 0.500 0.000 0.500
Mg 0.500 0.214 0.786
Mg 0.500 0.500 0.000
Mg 0.500 0.786 0.214
Mg 0.648 0.151 0.151
Mg 0.786 0.214 0.500
Mg 0.786 0.500 0.214
Mg 0.849 0.352 0.849
Mg 0.849 0.849 0.352
Sc 0.404 0.404 0.404
Sc 0.596 0.596 0.596



[3]
## NaAc2PaS6 (PBE)

Data for a relaxed structure of NaAc2PaS6.

Values from the calculation:
- SG: R3, No. 146
- DFT total energy: -62.1 eV per cell
- E_form (uncorrected): -176.32 kJ per mole of atoms

a = 7.543 Å, b = 7.543 Å, c = 7.543 Å
α = 58.08°, β = 58.08°, γ = 58.08°
Atoms (fractional coordinates):
Na 0.000 0.000 0.000
Ac 0.279 0.279 0.279
Ac 0.787 0.787 0.787
Pa 0.490 0.490 0.490
S 0.131 0.689 0.379
S 0.227 0.617 0.842
S 0.379 0.131 0.689
S 0.617 0.842 0.227
S 0.689 0.379 0.131
S 0.842 0.227 0.617



[4]
## Pr8SmDy6 (PBE)

Data for a relaxed structure of Pr8SmDy6.

Values from the calculation:
- SG: P-3, No. 147
- E above lowest polymorph: 0.013 eV per atom
- DFT total energy: -67.9 eV per cell
- Energy of formation: 0.177 eV per atom

a = 9.532 Å, b = 9.532 Å, c = 6.600 Å
α = 90.00°, β = 90.00°, γ = 120.00°
Atoms (fractional coordinates):
Pr 0.039 0.752 0.170
Pr 0.248 0.287 0.170
Pr 0.287 0.039 0.830
Pr 0.333 0.667 0.124
Pr 0.667 0.333 0.876
Pr 0.713 0.961 0.170
Pr 0.752 0.713 0.830
Pr 0.961 0.248 0.830
Sm 0.000 0.000 0.500
Dy 0.096 0.655 0.661
Dy 0.345 0.441 0.661
Dy 0.441 0.096 0.339
Dy 0.559 0.904 0.661
Dy 0.655 0.559 0.339
Dy 0.904 0.345 0.339



[5]
## K2UHgSe6 (PBE)

Data for a relaxed structure of K2UHgSe6.

Values from the calculation:
- SG: C2/m, No. 12
- DFT total energy: -41.7 eV per cell
- E_form (uncorrected): -67.14 kJ per mole of atoms

a = 8.720 Å, b = 8.720 Å, c = 7.353 Å
α = 109.22°, β = 109.22°, γ = 40.07°
Atoms (fractional coordinates):
K 0.226 0.226 0.231
K 0.774 0.774 0.769
U 0.500 0.500 0.000
Hg 0.000 0.000 0.500
Se 0.158 0.658 0.186
Se 0.342 0.842 0.814
Se 0.360 0.360 0.694
Se 0.640 0.640 0.306
Se 0.658 0.158 0.186
Se 0.842 0.342 0.814



[6]
## Ge3OsRu (PBE)

Data for a relaxed structure of Ge3OsRu.

Values from the calculation:
- SG: Pm-3m, No. 221
- E above lowest polymorph: 0.000 eV per atom
- DFT total energy: -28.9 eV per cell
- Energy of formation: 1.084 eV per atom

a = 4.777 Å, b = 4.777 Å, c = 4.777 Å
α = 90.00°, β = 90.00°, γ = 90.00°
Atoms (fractional coordinates):
Ge 0.000 0.000 0.500
Ge 0.000 0.500 0.000
Ge 0.500 0.000 0.000
Os 0.000 0.000 0.000
Ru 0.500 0.500 0.500



[7]
## La2GaIrPb (PBE)

Data for a relaxed structure of La2GaIrPb.

Values from the calculation:
- SG: P4/mmm, No. 123
- E above lowest polymorph: 0.011 eV per atom
- DFT total energy: -28.6 eV per cell
- Energy of formation: -0.620 eV per atom

a = 5.565 Å, b = 5.565 Å, c = 4.849 Å
α = 90.00°, β = 90.00°, γ = 90.00°
Atoms (fractional coordinates):
La 0.000 0.500 0.000
La 0.500 0.000 0.000
Ga 0.000 0.000 0.500
Ir 0.000 0.000 0.000
Pb 0.500 0.500 0.500



[8]
## Li2Cu2Hg (PBE)

Data for a relaxed structure of Li2Cu2Hg.

Values from the calculation:
- SG: P4/mbm, No. 127
- E above lowest polymorph: 0.000 eV per atom
- DFT total energy: -25.1 eV per cell
- Energy of formation: -0.050 eV per atom

a = 7.014 Å, b = 7.014 Å, c = 3.091 Å
α = 90.00°, β = 90.00°, γ = 90.00°
Atoms (fractional coordinates):
Li 0.171 0.329 0.000
Li 0.329 0.829 0.000
Li 0.671 0.171 0.000
Li 0.829 0.671 0.000
Cu 0.123 0.623 0.500
Cu 0.377 0.123 0.500
Cu 0.623 0.877 0.500
Cu 0.877 0.377 0.500
Hg 0.000 0.000 0.500
Hg 0.500 0.500 0.500



[9]
## TmV2C (PBE)

Data for a relaxed structure of TmV2C.

Values from the calculation:
- SG: P4/mmm, No. 123
- E above lowest polymorph: 0.000 eV per atom
- DFT total energy: -30.6 eV per cell
- Energy of formation: 0.340 eV per atom

a = 2.955 Å, b = 2.955 Å, c = 6.393 Å
α = 90.00°, β = 90.00°, γ = 90.00°
Atoms (fractional coordinates):
Tm 0.000 0.000 0.000
V 0.500 0.500 0.344
V 0.500 0.500 0.656
C 0.000 0.000 0.500



[10]
## LiZnIn2 (PBE)

Data for a relaxed structure of LiZnIn2.

Values from the calculation:
- SG: R3m, No. 160
- DFT total energy: -8.9 eV per cell
- Energy of formation: -0.059 eV per atom

a = 5.640 Å, b = 5.640 Å, c = 5.640 Å
α = 47.89°, β = 47.89°, γ = 47.89°
Atoms (fractional coordinates):
Li 0.000 0.000 0.000
Zn 0.193 0.193 0.193
In 0.579 0.579 0.579
In 0.783 0.783 0.783